[1]
Entry from Alexandria: a geometry-optimized Pr6In2Ga structure (GGA-PBE).

```
data_Pr6In2Ga
_chemical_formula_sum 'Pr6 In2 Ga1'
_symmetry_space_group_name_H-M 'P -6 2 m'
_symmetry_Int_Tables_number 189
_symmetry_space_group_name_Hall 'P -6 -2'
_cell_length_a 8.5275
_cell_length_b 8.5275
_cell_length_c 4.5377
_cell_angle_alpha 90.00
_cell_angle_beta 90.00
_cell_angle_gamma 120.00
loop_
_atom_site_label
_atom_site_type_symbol
_atom_site_fract_x
_atom_site_fract_y
_atom_site_fract_z
_atom_site_occupancy
Pr1 Pr 0.0000 0.4029 0.0000 1
Pr2 Pr 0.0000 0.7453 0.5000 1
In1 In 0.3333 0.6667 0.5000 1
Ga1 Ga 0.0000 0.0000 0.0000 1
```

## Properties
Formation enthalpy at 0 K (kJ/mol of formula units): -294
Uncorrected energy (eV/atom): -4.4696

=====

[2]
Entry from Alexandria: a geometry-optimized BiAsHAu2 structure (GGA-PBE).

```
data_BiAsHAu2
_chemical_formula_sum 'Bi1 As1 H1 Au2'
_symmetry_space_group_name_H-M 'P 4/m m m'
_symmetry_Int_Tables_number 123
_symmetry_space_group_name_Hall '-P 4 2'
_cell_length_a 5.239
_cell_length_b 5.239
_cell_length_c 3.478
_cell_angle_alpha 90.00
_cell_angle_beta 90.00
_cell_angle_gamma 90.00
loop_
_atom_site_label
_atom_site_type_symbol
_atom_site_fract_x
_atom_site_fract_y
_atom_site_fract_z
_atom_site_occupancy
Bi1 Bi 0.000 0.000 0.000 1
As1 As 0.500 0.500 0.500 1
H1 H 0.500 0.500 0.000 1
Au1 Au 0.000 0.500 0.500 1
```

## Properties
Uncorrected energy (eV/atom): -3.5210

=====

[3]
Entry from Alexandria: a geometry-optimized CeYTh2Sb5 structure (GGA-PBE).

```
data_CeYTh2Sb5
_chemical_formula_sum 'Ce1 Y1 Th2 Sb5'
_symmetry_space_group_name_H-M 'P 4/m m m'
_symmetry_Int_Tables_number 123
_symmetry_space_group_name_Hall '-P 4 2'
_cell_length_a 5.277
_cell_length_b 5.277
_cell_length_c 11.606
_cell_angle_alpha 90.00
_cell_angle_beta 90.00
_cell_angle_gamma 90.00
loop_
_atom_site_label
_atom_site_type_symbol
_atom_site_fract_x
_atom_site_fract_y
_atom_site_fract_z
_atom_site_occupancy
Ce1 Ce 0.000 0.000 0.000 1
Y1 Y 0.000 0.000 0.500 1
Th1 Th 0.500 0.500 0.309 1
Sb1 Sb 0.000 0.000 0.250 1
Sb2 Sb 0.000 0.500 0.500 1
Sb3 Sb 0.500 0.500 0.000 1
```

## Properties
Uncorrected energy (eV/atom): -5.5178

=====

[4]
Entry from Alexandria: a geometry-optimized BaCu2Mo structure (GGA-PBE).

```
data_BaCu2Mo
_chemical_formula_sum 'Ba1 Cu2 Mo1'
_symmetry_space_group_name_H-M 'P 4/m m m'
_symmetry_Int_Tables_number 123
_symmetry_space_group_name_Hall '-P 4 2'
_cell_length_a 3.271
_cell_length_b 3.271
_cell_length_c 7.452
_cell_angle_alpha 90.00
_cell_angle_beta 90.00
_cell_angle_gamma 90.00
loop_
_atom_site_label
_atom_site_type_symbol
_atom_site_fract_x
_atom_site_fract_y
_atom_site_fract_z
_atom_site_occupancy
Ba1 Ba 0.000 0.000 0.000 1
Cu1 Cu 0.500 0.500 0.328 1
Mo1 Mo 0.000 0.000 0.500 1
```

## Properties
Formation enthalpy at 0 K (kJ/mol of formula units): 210
Uncorrected energy (eV/atom): -4.6922
Excess energy over the best structure of this formula in the dataset (meV/atom): 91

=====

[5]
Entry from Alexandria: a geometry-optimized TbCeTlRh structure (GGA-PBE).

```
data_TbCeTlRh
_chemical_formula_sum 'Tb4 Ce4 Tl4 Rh4'
_symmetry_space_group_name_H-M 'F -4 3 m'
_symmetry_Int_Tables_number 216
_symmetry_space_group_name_Hall 'F -4 2 3'
_cell_length_a 7.335
_cell_length_b 7.335
_cell_length_c 7.335
_cell_angle_alpha 90.00
_cell_angle_beta 90.00
_cell_angle_gamma 90.00
loop_
_atom_site_label
_atom_site_type_symbol
_atom_site_fract_x
_atom_site_fract_y
_atom_site_fract_z
_atom_site_occupancy
Tb1 Tb 0.000 0.000 0.000 1
Ce1 Ce 0.000 0.000 0.500 1
Tl1 Tl 0.250 0.250 0.750 1
Rh1 Rh 0.250 0.250 0.250 1
```

## Properties
Formation enthalpy at 0 K (kJ/mol of formula units): -142
Uncorrected energy (eV/atom): -5.4383
Excess energy over the best structure of this formula in the dataset (meV/atom): 167

=====

[6]
Entry from Alexandria: a geometry-optimized LiTeNO2 structure (GGA-PBE).

```
data_LiTeNO2
_chemical_formula_sum 'Li1 Te1 N1 O2'
_symmetry_space_group_name_H-M 'P 4/m m m'
_symmetry_Int_Tables_number 123
_symmetry_space_group_name_Hall '-P 4 2'
_cell_length_a 3.984
_cell_length_b 3.984
_cell_length_c 3.886
_cell_angle_alpha 90.00
_cell_angle_beta 90.00
_cell_angle_gamma 90.00
loop_
_atom_site_label
_atom_site_type_symbol
_atom_site_fract_x
_atom_site_fract_y
_atom_site_fract_z
_atom_site_occupancy
Li1 Li 0.000 0.000 0.000 1
Te1 Te 0.500 0.500 0.500 1
N1 N 0.500 0.500 0.000 1
O1 O 0.000 0.500 0.500 1
```

## Properties
Uncorrected energy (eV/atom): -4.9331